A plane-wave DFT calculation with PBE was carried out for a relaxed NaDyIn4 crystal.

## Properties
As for the formation energy: -161 meV/atom. The distance to the lowest polymorph of the same formula comes out at 80 meV per atom. The total energy comes out at -17.8 eV for the cell shown. As for the total magnetic moment: 0.000 μB per atom. The density comes out at 6.74 Mg/m³.

Lattice parameters (Å, degrees): 6.079 6.079 6.079 60.00 60.00 60.00
Atoms (fractional coordinates):
In  0.625  0.125  0.625
In  0.625  0.625  0.625
In  0.125  0.625  0.625
In  0.625  0.625  0.125
Na  0.250  0.250  0.250
Dy  0.000  0.000  0.000